No. 1
An optimized crystal structure of Y3H, computed with PBE.

Lattice parameters (Å, degrees): 10.7705 3.5251 11.1085 90.00 90.00 90.00
Positions (direct):
Y  0.0832  0.0000  0.1352
Y  0.0829  0.5000  0.6401
Y  0.2500  0.0000  0.8596
Y  0.2500  0.5000  0.3557
Y  0.4168  0.0000  0.1352
Y  0.4171  0.5000  0.6401
Y  0.5832  0.0000  0.8648
Y  0.5829  0.5000  0.3599
Y  0.7500  0.0000  0.1404
Y  0.7500  0.5000  0.6443
Y  0.9168  0.0000  0.8648
Y  0.9171  0.5000  0.3599
H  0.0826  0.5000  0.2466
H  0.4174  0.5000  0.2466
H  0.5826  0.5000  0.7534
H  0.9174  0.5000  0.7534

## Properties
As for the space group: No. 51. Its relative energy among the computed polymorphs is 169 meV per atom.

No. 2
An optimized crystal structure of YH, computed with PBE.

Lattice parameters (Å, degrees): 6.0178 6.0221 7.6186 90.00 90.00 90.00
Positions (direct):
Y  0.2334  0.0155  0.2353
Y  0.2408  0.5206  0.9971
Y  0.2592  0.4794  0.4971
Y  0.2666  0.9845  0.7353
Y  0.7333  0.4845  0.7647
Y  0.7408  0.9794  0.0029
Y  0.7592  0.0206  0.5029
Y  0.7667  0.5155  0.2647
H  0.1109  0.3747  0.2437
H  0.1204  0.1322  0.4958
H  0.3796  0.8678  0.9958
H  0.3891  0.6253  0.7437
H  0.6109  0.1253  0.7563
H  0.6204  0.3678  0.5042
H  0.8796  0.6322  0.0042
H  0.8891  0.8747  0.2563

## Properties
As for the space group: No. 19.

No. 3
An optimized crystal structure of Y3H, computed with PBE.

Lattice parameters (Å, degrees): 5.9914 5.9914 5.9914 147.41 68.89 121.17
Positions (direct):
Y  0.0000  0.0000  0.0000
Y  0.3443  0.5215  0.8228
Y  0.6987  0.5215  0.1772
H  0.6845  0.1845  0.5000

## Properties
As for the space group: No. 44. Its relative energy among the computed polymorphs is 258 meV per atom.

No. 4
An optimized crystal structure of YH3, computed with PBE.

Lattice parameters (Å, degrees): 6.3071 6.3071 6.5653 90.00 90.00 120.00
Positions (direct):
Y  0.0000  0.3301  0.0000
Y  0.0000  0.6699  0.5000
Y  0.3301  0.0000  0.0000
Y  0.3301  0.3301  0.5000
Y  0.6699  0.0000  0.5000
Y  0.6699  0.6699  0.0000
H  0.0000  0.0000  0.0691
H  0.0000  0.0000  0.5691
H  0.0000  0.3044  0.3420
H  0.0000  0.3548  0.6576
H  0.0000  0.6452  0.1576
H  0.0000  0.6956  0.8420
H  0.3044  0.0000  0.3420
H  0.3044  0.3044  0.8420
H  0.3333  0.6667  0.4512
H  0.3333  0.6667  0.9512
H  0.3548  0.0000  0.6576
H  0.3548  0.3548  0.1576
H  0.6452  0.0000  0.1576
H  0.6452  0.6452  0.6576
H  0.6667  0.3333  0.4512
H  0.6667  0.3333  0.9512
H  0.6956  0.0000  0.8420
H  0.6956  0.6956  0.3420

## Properties
As for the space group: No. 185.

No. 5
An optimized crystal structure of YH, computed with PBE.

Lattice parameters (Å, degrees): 8.5895 8.5895 3.6651 90.00 90.00 120.00
Positions (direct):
Y  0.1285  0.7044  0.2500
Y  0.2957  0.4242  0.2500
Y  0.4242  0.1285  0.7500
Y  0.5758  0.8715  0.2500
Y  0.7044  0.5758  0.7500
Y  0.8715  0.2957  0.7500
H  0.0308  0.4123  0.2500
H  0.3815  0.9692  0.2500
H  0.4123  0.3815  0.7500
H  0.5877  0.6185  0.2500
H  0.6185  0.0308  0.7500
H  0.9692  0.5877  0.7500

## Properties
As for the space group: No. 176.

No. 6
An optimized crystal structure of YH, computed with PBE.

Lattice parameters (Å, degrees): 6.4242 6.4242 6.4242 148.93 148.93 44.51
Positions (direct):
Y  0.1326  0.1326  0.0000
Y  0.8674  0.8674  0.0000
H  0.0000  0.5000  0.5000
H  0.5000  0.0000  0.5000

## Properties
As for the space group: No. 139.

No. 7
An optimized crystal structure of YH2, computed with PBE.

Lattice parameters (Å, degrees): 3.6688 3.6688 3.6688 119.92 119.92 90.13
Positions (direct):
Y  0.0000  0.0000  0.0000
H  0.2500  0.7500  0.5000
H  0.7500  0.2500  0.5000

## Properties
As for the space group: No. 139.

No. 8
An optimized crystal structure of YH3, computed with PBE.

Lattice parameters (Å, degrees): 3.5930 3.5930 6.1122 90.00 90.00 120.00
Positions (direct):
Y  0.3333  0.6667  0.2500
Y  0.6667  0.3333  0.7500
H  0.0000  0.0000  0.0000
H  0.0000  0.0000  0.5000
H  0.3333  0.6667  0.5973
H  0.3333  0.6667  0.9027
H  0.6667  0.3333  0.0973
H  0.6667  0.3333  0.4027

## Properties
As for the space group: No. 194.

No. 9
An optimized crystal structure of YH, computed with PBE.

Lattice parameters (Å, degrees): 6.2811 6.2811 6.2811 90.00 90.00 90.00
Positions (direct):
Y  0.0000  0.2500  0.5000
Y  0.0000  0.7500  0.5000
Y  0.2500  0.5000  0.0000
Y  0.5000  0.0000  0.2500
Y  0.5000  0.0000  0.7500
Y  0.7500  0.5000  0.0000
H  0.0000  0.5000  0.2500
H  0.0000  0.5000  0.7500
H  0.2500  0.0000  0.5000
H  0.5000  0.2500  0.0000
H  0.5000  0.7500  0.0000
H  0.7500  0.0000  0.5000

## Properties
As for the space group: No. 223.

No. 10
An optimized crystal structure of Y10H21, computed with PBE.

Lattice parameters (Å, degrees): 6.3504 7.3312 8.1966 102.88 97.39 106.73
Positions (direct):
Y  0.0007  0.2501  0.0013
Y  0.2021  0.6525  0.4007
Y  0.2036  0.1492  0.4002
Y  0.3985  0.5508  0.8007
Y  0.4003  0.0487  0.7969
Y  0.5997  0.9513  0.2031
Y  0.6015  0.4492  0.1993
Y  0.7964  0.8508  0.5998
Y  0.7979  0.3475  0.5993
Y  0.9993  0.7499  0.9987
H  0.0484  0.4738  0.8490
H  0.0501  0.9751  0.8488
H  0.1400  0.9233  0.5508
H  0.1495  0.4247  0.5493
H  0.2432  0.8716  0.2437
H  0.2513  0.3759  0.2518
H  0.3500  0.3235  0.9495
H  0.3510  0.8272  0.9512
H  0.4483  0.2818  0.6536
H  0.4476  0.7692  0.6535
H  0.5000  0.0000  0.5000
H  0.5524  0.2308  0.3465
H  0.5517  0.7182  0.3464
H  0.6490  0.1728  0.0488
H  0.6500  0.6765  0.0505
H  0.7487  0.6241  0.7482
H  0.7568  0.1284  0.7563
H  0.8505  0.5753  0.4507
H  0.8600  0.0767  0.4492
H  0.9499  0.0249  0.1512
H  0.9516  0.5262  0.1510

## Properties
As for the space group: No. 2.

No. 11
An optimized crystal structure of YH, computed with PBE.

Lattice parameters (Å, degrees): 5.8149 5.8149 5.8149 109.47 109.47 109.47
Positions (direct):
Y  0.0000  0.0000  0.3769
Y  0.0000  0.3769  0.0000
Y  0.3769  0.0000  0.0000
Y  0.6231  0.6231  0.6231
H  0.0000  0.0000  0.7470
H  0.0000  0.7470  0.0000
H  0.2530  0.2530  0.2530
H  0.7470  0.0000  0.0000

## Properties
As for the space group: No. 217.

No. 12
An optimized crystal structure of YH, computed with PBE.

Lattice parameters (Å, degrees): 6.5846 6.5846 6.5846 94.25 94.25 148.41
Positions (direct):
Y  0.0772  0.7389  0.8161
Y  0.2611  0.0772  0.3384
Y  0.7389  0.9228  0.6616
Y  0.9228  0.2611  0.1839
H  0.1664  0.3034  0.4699
H  0.3034  0.8336  0.1370
H  0.6966  0.1664  0.8630
H  0.8336  0.6966  0.5301

## Properties
As for the space group: No. 87.

No. 13
An optimized crystal structure of Y3H, computed with PBE.

Lattice parameters (Å, degrees): 17.2493 3.6760 6.3558 90.00 90.00 90.00
Positions (direct):
Y  0.0828  0.0000  0.1707
Y  0.0893  0.5000  0.6661
Y  0.2500  0.0000  0.8324
Y  0.2500  0.5000  0.3281
Y  0.4107  0.5000  0.6661
Y  0.4172  0.0000  0.1707
Y  0.5828  0.0000  0.8293
Y  0.5893  0.5000  0.3339
Y  0.7500  0.0000  0.1676
Y  0.7500  0.5000  0.6719
Y  0.9107  0.5000  0.3339
Y  0.9172  0.0000  0.8293
H  0.1187  0.5000  0.3324
H  0.3813  0.5000  0.3324
H  0.6187  0.5000  0.6676
H  0.8813  0.5000  0.6676

## Properties
As for the space group: No. 51. Its relative energy among the computed polymorphs is 0 meV per atom.

No. 14
An optimized crystal structure of YH, computed with PBE.

Lattice parameters (Å, degrees): 3.4880 3.4880 3.4880 60.00 60.00 60.00
Positions (direct):
Y  0.0000  0.0000  0.0000
H  0.5000  0.5000  0.5000

## Properties
As for the space group: No. 225.

No. 15
An optimized crystal structure of Y4Zn2H, computed with PBE.

Lattice parameters (Å, degrees): 8.1027 8.1027 8.1027 146.46 146.46 48.17
Positions (direct):
Y  0.0000  0.5000  0.5000
Y  0.1850  0.1850  0.0000
Y  0.5000  0.0000  0.5000
Y  0.8150  0.8150  0.0000
Zn  0.3758  0.3758  0.0000
Zn  0.6242  0.6242  0.0000
H  0.0000  0.0000  0.0000

## Properties
As for the space group: No. 139.

No. 16
An optimized crystal structure of Y12Zn3H5, computed with PBE.

Lattice parameters (Å, degrees): 13.2618 13.2618 13.2618 109.47 109.47 109.47
Positions (direct):
Y  0.0179  0.2093  0.1132
Y  0.0179  0.3086  0.9047
Y  0.0953  0.6132  0.4039
Y  0.0953  0.9821  0.6914
Y  0.0961  0.7093  0.6914
Y  0.0961  0.8868  0.4047
Y  0.1132  0.0179  0.2093
Y  0.1132  0.5953  0.9039
Y  0.1914  0.2093  0.5961
Y  0.1914  0.4821  0.5953
Y  0.2093  0.1132  0.0179
Y  0.2093  0.5961  0.1914
Y  0.2907  0.3086  0.9039
Y  0.2907  0.4821  0.3868
Y  0.3086  0.9039  0.2907
Y  0.3086  0.9047  0.0179
Y  0.3868  0.2907  0.4821
Y  0.3868  0.5961  0.9047
Y  0.4039  0.0953  0.6132
Y  0.4039  0.8086  0.7907
Y  0.4047  0.0961  0.8868
Y  0.4047  0.8086  0.5179
Y  0.4821  0.3868  0.2907
Y  0.4821  0.5953  0.1914
Y  0.5179  0.4047  0.8086
Y  0.5179  0.6132  0.7093
Y  0.5953  0.1914  0.4821
Y  0.5953  0.9039  0.1132
Y  0.5961  0.1914  0.2093
Y  0.5961  0.9047  0.3868
Y  0.6132  0.4039  0.0953
Y  0.6132  0.7093  0.5179
Y  0.6914  0.0953  0.9821
Y  0.6914  0.0961  0.7093
Y  0.7093  0.5179  0.6132
Y  0.7093  0.6914  0.0961
Y  0.7907  0.4039  0.8086
Y  0.7907  0.8868  0.9821
Y  0.8086  0.5179  0.4047
Y  0.8086  0.7907  0.4039
Y  0.8868  0.4047  0.0961
Y  0.8868  0.9821  0.7907
Y  0.9039  0.1132  0.5953
Y  0.9039  0.2907  0.3086
Y  0.9047  0.0179  0.3086
Y  0.9047  0.3868  0.5961
Y  0.9821  0.6914  0.0953
Y  0.9821  0.7907  0.8868
Zn  0.1250  0.2500  0.3750
Zn  0.1250  0.3750  0.7500
Zn  0.2500  0.3750  0.1250
Zn  0.2500  0.8750  0.6250
Zn  0.3750  0.1250  0.2500
Zn  0.3750  0.7500  0.1250
Zn  0.6250  0.2500  0.8750
Zn  0.6250  0.8750  0.7500
Zn  0.7500  0.1250  0.3750
Zn  0.7500  0.6250  0.8750
Zn  0.8750  0.6250  0.2500
Zn  0.8750  0.7500  0.6250
H  0.0000  0.0000  0.0000
H  0.0000  0.0000  0.5000
H  0.0000  0.5000  0.0000
H  0.0000  0.5000  0.5000
H  0.1250  0.7500  0.8750
H  0.1250  0.8750  0.2500
H  0.2500  0.1250  0.8750
H  0.2500  0.6250  0.3750
H  0.3750  0.2500  0.6250
H  0.3750  0.6250  0.7500
H  0.5000  0.0000  0.0000
H  0.5000  0.0000  0.5000
H  0.5000  0.5000  0.0000
H  0.5000  0.5000  0.5000
H  0.6250  0.3750  0.2500
H  0.6250  0.7500  0.3750
H  0.7500  0.3750  0.6250
H  0.7500  0.8750  0.1250
H  0.8750  0.1250  0.7500
H  0.8750  0.2500  0.1250

## Properties
As for the space group: No. 230.

No. 17
An optimized crystal structure of Y2Zn2H, computed with PBE.

Lattice parameters (Å, degrees): 6.6809 6.6809 4.7883 90.00 90.00 90.00
Positions (direct):
Y  0.1741  0.3259  0.0000
Y  0.3259  0.8259  0.0000
Y  0.6741  0.1741  0.0000
Y  0.8259  0.6741  0.0000
Zn  0.1335  0.6335  0.5000
Zn  0.3665  0.1335  0.5000
Zn  0.6335  0.8665  0.5000
Zn  0.8665  0.3665  0.5000
H  0.0000  0.0000  0.0000
H  0.5000  0.5000  0.0000

## Properties
As for the space group: No. 127.

No. 18
An optimized crystal structure of YZr2ZnH, computed with PBE.

Lattice parameters (Å, degrees): 4.4521 4.4521 4.6438 90.00 90.00 90.00
Positions (direct):
Y  0.0000  0.0000  0.0000
Zr  0.0000  0.5000  0.5000
Zr  0.5000  0.0000  0.5000
Zn  0.5000  0.5000  0.0000
H  0.0000  0.0000  0.5000

## Properties
As for the space group: No. 123.

| no. | size of the total moment (μB per formula unit) | VASP energy (eV/atom) | volume (Å³ per cell) |
| --- | --- | --- | --- |
| 1 | 0.1 | -5.780 | 421.8 |
| 2 | 0.0 | -5.312 | 276.1 |
| 3 | 0.0 | -5.691 | 97.8 |
| 4 | 0.0 | -4.756 | 226.2 |
| 5 | 0.0 | -5.230 | 234.2 |
| 6 | 0.0 | -5.160 | 70.4 |
| 7 | 0.0 | -5.113 | 35.0 |
| 8 | 0.0 | -4.567 | 68.3 |
| 9 | 0.5 | -5.002 | 247.8 |
| 10 | 0.0 | -5.065 | 348.6 |
| 11 | 0.0 | -5.208 | 151.4 |
| 12 | 0.0 | -5.325 | 143.9 |
| 13 | 0.0 | -5.949 | 403.0 |
| 14 | 0.0 | -5.270 | 30.0 |
| 15 | 0.0 | -4.764 | 161.8 |
| 16 | 0.0 | -5.157 | 1795.5 |
| 17 | 0.0 | -3.921 | 213.7 |
| 18 | 0.0 | -5.810 | 92.0 |